Entry 1:
A relaxed CaCoW2 crystal, computed with PBE.

Results
- total energy (eV/atom) = -7.88
- symmetry = P4/mmm
- formation energy from the elements (kcal/mol of atoms) = 20.027

```
4
Lattice="4.858 0.000 0.000 0.000 3.768 0.000 0.000 0.000 3.768" Properties=species:S:1:pos:R:3 pbc="T T T"
W 0.000 1.884 1.884
W 0.000 0.000 0.000
Co 2.429 0.000 1.884
Ca 2.429 1.884 0.000
```

Entry 2:
A relaxed BeTcSe2 crystal, computed with PBE.

Results
- uncorrected formation energy (eV per atom) = 0.50
- total energy (eV/atom) = -4.77
- symmetry = C2/m

```
4
Lattice="4.630 0.025 0.047 -1.147 4.486 0.047 1.081 1.400 3.239" Properties=species:S:1:pos:R:3 pbc="T T T"
Se 0.000 0.000 0.000
Se 1.742 2.255 0.047
Be -0.033 2.943 1.643
Tc 2.855 0.712 1.643
```

Entry 3:
A relaxed Cs2RbPI6 crystal, computed with PBE.

Results
- uncorrected formation energy (eV per atom) = -0.89
- total energy (eV/atom) = -2.63
- symmetry = P2_1/c

```
20
Lattice="-7.699 0.180 4.059 3.331 -5.328 6.556 3.629 10.139 6.396" Properties=species:S:1:pos:R:3 pbc="T T T"
I -4.581 -0.375 8.508
I 0.439 3.804 5.025
I 0.334 -3.135 5.728
I -1.073 8.127 11.283
I -0.392 5.819 14.496
I -2.310 4.219 7.881
I -3.384 2.886 4.260
I -0.346 -0.827 2.515
I 1.572 0.772 9.129
I -1.177 1.188 11.985
I 3.843 5.366 8.503
I 2.645 2.106 12.751
Cs 0.593 4.660 10.619
Cs -1.331 0.331 6.392
Cs 3.847 -2.449 7.791
Cs -4.585 7.441 9.220
P 1.666 -2.664 3.278
P -2.035 5.160 5.227
Rb 3.480 2.406 6.476
Rb -3.849 0.090 2.029
```

Entry 4:
A relaxed TcSe2F crystal, computed with PBE.

Results
- uncorrected formation energy (eV per atom) = -0.27
- total energy (eV/atom) = -5.07
- symmetry = Fm-3m

```
4
Lattice="0.000 3.107 3.107 3.107 0.000 3.107 3.107 3.107 0.000" Properties=species:S:1:pos:R:3 pbc="T T T"
F 0.000 0.000 0.000
Se 4.661 4.661 4.661
Se 1.554 1.554 1.554
Tc 3.107 3.107 3.107
```

Entry 5:
A relaxed LiIrRh2 crystal, computed with PBE.

Results
- total energy (eV/atom) = -6.37
- symmetry = P4/mmm
- formation energy from the elements (kcal/mol of atoms) = -0.015

```
4
Lattice="-0.363 -3.759 -0.862 0.479 -0.903 3.737 -3.608 0.230 0.518" Properties=species:S:1:pos:R:3 pbc="T T T"
Li -1.986 -1.765 -0.172
Rh 0.000 0.000 0.000
Rh 0.058 -2.331 1.437
Ir -1.565 -0.337 2.127
```

Entry 6:
A relaxed InCoAs2 crystal, computed with PBE.

Results
- total energy (eV/atom) = -4.77
- symmetry = Imm2
- formation energy from the elements (kcal/mol of atoms) = 0.416

```
4
Lattice="9.174 0.458 -0.187 8.036 4.449 0.187 -8.558 -2.617 2.076" Properties=species:S:1:pos:R:3 pbc="T T T"
Co 9.476 2.701 0.000
As 2.978 -0.318 0.945
As 16.863 4.807 0.000
In 5.150 2.459 1.132
```

Entry 7:
A relaxed YHg2Sb crystal, computed with PBE.

Results
- uncorrected formation energy (eV per atom) = -0.36
- total energy (eV/atom) = -3.16
- symmetry = I-4m2

```
4
Lattice="5.908 0.312 0.000 2.186 5.498 0.000 -4.047 -2.905 3.192" Properties=species:S:1:pos:R:3 pbc="T T T"
Hg 0.000 0.000 0.000
Hg 1.093 2.749 1.596
Sb 4.047 2.905 0.000
Y 2.954 0.156 1.596
```

Entry 8:
A relaxed AcPrS crystal, computed with PBE.

Results
- uncorrected formation energy (eV per atom) = -1.18
- total energy (eV/atom) = -5.52
- symmetry = P3m1

```
3
Lattice="-1.645 1.994 -3.226 -2.461 -1.828 2.773 -0.170 5.777 3.657" Properties=species:S:1:pos:R:3 pbc="T T T"
Ac -0.158 5.354 3.389
Pr -1.988 3.136 0.303
S -2.301 3.231 3.169
```